Model one:
Compound: YReC3
Source: Alexandria
Functional: PBE
Structure: relaxed

a b c (Å): 4.2059 4.2059 4.2059
angles (deg): 90.00 90.00 90.00
Fractional coordinates of all 5 atoms:
Y  0.0000  0.0000  0.0000
Re  0.5000  0.5000  0.5000
C  0.0000  0.5000  0.0000
C  0.0000  0.0000  0.5000
C  0.5000  0.0000  0.0000

Results
As for the space-group type: No. 221. The density of states at the Fermi level comes out at 7.3 states/eV/f.u.

---

Model two:
Compound: YReC3
Source: Alexandria
Functional: PBE
Structure: relaxed

a b c (Å): 4.0269 4.0269 4.0269
angles (deg): 90.00 90.00 90.00
Fractional coordinates of all 5 atoms:
Y  0.5000  0.5000  0.5000
Re  0.0000  0.0000  0.0000
C  0.0000  0.5000  0.0000
C  0.0000  0.0000  0.5000
C  0.5000  0.0000  0.0000

Results
As for the space-group type: No. 221. The density of states at the Fermi level comes out at 2.9 states/eV/f.u.

---

Most stable structure: model two

---

Model one:
Compound: Y2Re2C
Source: Alexandria
Functional: PBE
Structure: relaxed

a b c (Å): 5.6649 5.6649 5.1743
angles (deg): 56.81 56.81 90.00
Fractional coordinates of all 5 atoms:
Y  0.7500  0.2500  0.5000
Y  0.2500  0.7500  0.5000
Re  0.2970  0.2970  0.4059
Re  0.7030  0.7030  0.5941
C  0.0000  0.0000  0.0000

Results
As for the space-group type: No. 139. The density of states at the Fermi level comes out at 4.1 states/eV/f.u.

---

Model two:
Compound: Y2Re2C
Source: Alexandria
Functional: PBE
Structure: relaxed

a b c (Å): 5.7233 5.7233 5.3586
angles (deg): 90.00 90.00 90.00
Fractional coordinates of all 10 atoms:
Y  0.1698  0.6698  0.5000
Y  0.6698  0.8302  0.5000
Y  0.8302  0.3302  0.5000
Y  0.3302  0.1698  0.5000
Re  0.3387  0.8387  0.0000
Re  0.8387  0.6613  0.0000
Re  0.6613  0.1613  0.0000
Re  0.1613  0.3387  0.0000
C  0.0000  0.0000  0.0000
C  0.5000  0.5000  0.0000

Results
As for the space-group type: No. 127. The density of states at the Fermi level comes out at 4.3 states/eV/f.u.

---

Most stable structure: model two

---

Model one:
Compound: ZnRe2C
Source: Alexandria
Functional: PBE
Structure: relaxed

a b c (Å): 4.1062 4.1062 4.1062
angles (deg): 60.00 60.00 60.00
Fractional coordinates of all 4 atoms:
Re  0.2500  0.2500  0.2500
Re  0.7500  0.7500  0.7500
Zn  0.5000  0.5000  0.5000
C  0.0000  0.0000  0.0000

Results
As for the space-group type: No. 225. The density of states at the Fermi level comes out at 5.5 states/eV/f.u.

---

Model two:
Compound: ZnRe2C
Source: Alexandria
Functional: PBE
Structure: relaxed

a b c (Å): 4.6989 4.6989 6.9218
angles (deg): 70.16 70.16 90.00
Fractional coordinates of all 8 atoms:
Re  0.4935  0.1250  0.2500
Re  0.2565  0.6250  0.2500
Re  0.3750  0.5065  0.7500
Re  0.8750  0.7435  0.7500
Zn  0.0000  0.0000  0.0000
Zn  0.7500  0.2500  0.5000
C  0.5000  0.5000  0.0000
C  0.2500  0.7500  0.5000

Results
As for the space-group type: No. 122. The density of states at the Fermi level comes out at 4.8 states/eV/f.u.

---

Most stable structure: model two

---

Model one:
Compound: ZnReC3
Source: Alexandria
Functional: PBE
Structure: relaxed

a b c (Å): 3.7953 3.7953 3.7953
angles (deg): 90.00 90.00 90.00
Fractional coordinates of all 5 atoms:
Re  0.5000  0.5000  0.5000
Zn  0.0000  0.0000  0.0000
C  0.0000  0.5000  0.0000
C  0.0000  0.0000  0.5000
C  0.5000  0.0000  0.0000

Results
As for the space-group type: No. 221. The density of states at the Fermi level comes out at 2.9 states/eV/f.u.

---

Model two:
Compound: ZnReC3
Source: Alexandria
Functional: PBE
Structure: relaxed

a b c (Å): 4.0499 4.0499 4.0499
angles (deg): 90.00 90.00 90.00
Fractional coordinates of all 5 atoms:
Re  0.0000  0.0000  0.0000
Zn  0.5000  0.5000  0.5000
C  0.0000  0.5000  0.0000
C  0.0000  0.0000  0.5000
C  0.5000  0.0000  0.0000

Results
As for the space-group type: No. 221. The density of states at the Fermi level comes out at 2.2 states/eV/f.u.

---

Most stable structure: model two

---

Model one:
Compound: ZrReC2
Source: Alexandria
Functional: PBE
Structure: relaxed

a b c (Å): 3.9655 3.9655 3.9655
angles (deg): 60.00 60.00 60.00
Fractional coordinates of all 4 atoms:
Re  0.5000  0.5000  0.5000
C  0.2500  0.2500  0.2500
C  0.7500  0.7500  0.7500
Zr  0.0000  0.0000  0.0000

Results
As for the space-group type: No. 225. The density of states at the Fermi level comes out at 3.4 states/eV/f.u.

---

Model two:
Compound: ZrReC2
Source: Alexandria
Functional: PBE
Structure: relaxed

a b c (Å): 4.7904 4.7904 6.0332
angles (deg): 66.61 66.61 90.00
Fractional coordinates of all 8 atoms:
Re  0.0000  0.0000  0.0000
Re  0.7500  0.2500  0.5000
C  0.6725  0.1250  0.2500
C  0.0775  0.6250  0.2500
C  0.3750  0.3275  0.7500
C  0.8750  0.9225  0.7500
Zr  0.5000  0.5000  0.0000
Zr  0.2500  0.7500  0.5000

Results
As for the space-group type: No. 122. The density of states at the Fermi level comes out at 1.9 states/eV/f.u.

---

Most stable structure: model two

---

Model one:
Compound: Rh5C3
Source: Alexandria
Functional: PBE
Structure: relaxed

a b c (Å): 5.9244 5.9244 2.8122
angles (deg): 90.00 90.00 105.35
Fractional coordinates of all 8 atoms:
Rh  0.0000  0.0000  0.0000
Rh  0.0000  0.5000  0.0000
Rh  0.5000  0.0000  0.0000
Rh  0.3174  0.3174  0.5000
Rh  0.6826  0.6826  0.5000
C  0.5000  0.5000  0.0000
C  0.8186  0.1814  0.5000
C  0.1814  0.8186  0.5000

Results
As for the space-group type: No. 65. The density of states at the Fermi level comes out at 8.6 states/eV/f.u.

---

Model two:
Compound: Rh5C3
Source: Alexandria
Functional: PBE
Structure: relaxed

a b c (Å): 8.3359 8.3359 4.7600
angles (deg): 90.01 90.01 143.65
Fractional coordinates of all 16 atoms:
C  0.2059  0.2944  0.0003
C  0.7944  0.7059  0.0003
C  0.9157  0.4157  0.7225
C  0.0836  0.5836  0.2797
C  0.3861  0.1141  0.5001
C  0.6141  0.8861  0.5001
Rh  0.2897  0.7897  0.6765
Rh  0.7096  0.2096  0.3245
Rh  0.0705  0.7960  0.2395
Rh  0.9297  0.2041  0.7611
Rh  0.5315  0.6253  0.7522
Rh  0.4688  0.3751  0.2485
Rh  0.7041  0.4297  0.7611
Rh  0.2960  0.5705  0.2395
Rh  0.8751  0.9688  0.2485
Rh  0.1253  0.0315  0.7522

Results
As for the space-group type: No. 12. The density of states at the Fermi level comes out at 3.1 states/eV/f.u.

---

Model three:
Compound: Rh5C3
Source: Alexandria
Functional: PBE
Structure: relaxed

a b c (Å): 5.9115 5.9123 7.1355
angles (deg): 90.00 90.00 120.00
Fractional coordinates of all 16 atoms:
C  0.7199  0.0997  0.2500
C  0.2801  0.9003  0.7500
C  0.9003  0.6202  0.2500
C  0.3798  0.2800  0.2500
C  0.6203  0.7200  0.7500
C  0.0997  0.3798  0.7500
Rh  0.3333  0.6666  0.9345
Rh  0.6667  0.3334  0.4345
Rh  0.6667  0.3334  0.0655
Rh  0.3333  0.6666  0.5655
Rh  0.2484  0.8998  0.2500
Rh  0.7516  0.1002  0.7500
Rh  0.1002  0.3485  0.2500
Rh  0.6515  0.7517  0.2500
Rh  0.3485  0.2482  0.7500
Rh  0.8998  0.6515  0.7500

Results
As for the space-group type: No. 176. The density of states at the Fermi level comes out at 2.2 states/eV/f.u.

---

Most stable structure: model two

---

Model one:
Compound: RhC5
Source: Alexandria
Functional: PBE
Structure: relaxed

a b c (Å): 3.7489 3.7489 5.0259
angles (deg): 90.00 90.00 120.00
Fractional coordinates of all 6 atoms:
Rh  0.0000  0.0000  0.5000
C  0.7795  0.0000  0.0000
C  0.2205  0.2205  0.0000
C  0.0000  0.7795  0.0000
C  0.6667  0.3333  0.5000
C  0.3333  0.6667  0.5000

Results
As for the space-group type: No. 189. The density of states at the Fermi level comes out at 3.2 states/eV/f.u.

---

Model two:
Compound: RhC5
Source: Alexandria
Functional: PBE
Structure: relaxed

a b c (Å): 4.2023 4.2023 4.2023
angles (deg): 60.00 60.00 60.00
Fractional coordinates of all 6 atoms:
Rh  0.0000  0.0000  0.0000
C  0.2500  0.2500  0.2500
C  0.5932  0.5932  0.5932
C  0.5932  0.5932  0.2205
C  0.2205  0.5932  0.5932
C  0.5932  0.2205  0.5932

Results
As for the space-group type: No. 216. The density of states at the Fermi level comes out at 4.5 states/eV/f.u.

---

Model three:
Compound: RhC5
Source: Alexandria
Functional: PBE
Structure: relaxed

a b c (Å): 3.4159 3.4159 7.4932
angles (deg): 90.00 90.00 120.00
Fractional coordinates of all 6 atoms:
Rh  0.0000  0.0000  0.0000
C  0.3333  0.6667  0.0000
C  0.6667  0.3333  0.0000
C  0.5000  0.0000  0.5000
C  0.0000  0.5000  0.5000
C  0.5000  0.5000  0.5000

Results
As for the space-group type: No. 191. The density of states at the Fermi level comes out at 3.8 states/eV/f.u.

---

Model four:
Compound: RhC5
Source: Alexandria
Functional: PBE
Structure: relaxed

a b c (Å): 3.8953 3.8953 8.1151
angles (deg): 90.00 90.00 141.06
Fractional coordinates of all 6 atoms:
Rh  0.1294  0.8706  0.5000
C  0.8426  0.1574  0.0000
C  0.4541  0.5459  0.0000
C  0.6484  0.3516  0.0000
C  0.4115  0.5885  0.5000
C  0.8473  0.1527  0.5000

Results
As for the space-group type: No. 38. The density of states at the Fermi level comes out at 3.2 states/eV/f.u.

---

Most stable structure: model four

---

Model one:
Compound: RhC5
Source: Alexandria
Functional: PBE
Structure: relaxed

a b c (Å): 3.2427 3.2427 5.3198
angles (deg): 90.00 90.00 90.00
Fractional coordinates of all 6 atoms:
Rh  0.5000  0.5000  0.0000
C  0.0000  0.0000  0.7565
C  0.0000  0.0000  0.2435
C  0.5000  0.5000  0.6239
C  0.5000  0.5000  0.3761
C  0.0000  0.0000  0.5000

Results
As for the space-group type: No. 123. The density of states at the Fermi level comes out at 4.9 states/eV/f.u.

---

Model two:
Compound: RhC5
Source: Alexandria
Functional: PBE
Structure: relaxed

a b c (Å): 3.6809 3.6809 5.5662
angles (deg): 88.41 88.41 42.79
Fractional coordinates of all 6 atoms:
Rh  0.2205  0.2205  0.0548
C  0.9567  0.9567  0.8948
C  0.4061  0.4061  0.3655
C  0.8056  0.8056  0.4704
C  0.6198  0.6198  0.3153
C  0.8247  0.8247  0.7326

Results
As for the space-group type: No. 8. The density of states at the Fermi level comes out at 1.5 states/eV/f.u.

---

Most stable structure: model two

---

Model one:
Compound: Rh4C
Source: Alexandria
Functional: PBE
Structure: relaxed

a b c (Å): 5.0307 5.0307 5.0307
angles (deg): 94.07 94.07 149.09
Fractional coordinates of all 5 atoms:
Rh  0.2391  0.5631  0.8022
Rh  0.5631  0.7609  0.3240
Rh  0.7609  0.4369  0.1978
Rh  0.4369  0.2391  0.6760
C  0.0000  0.0000  0.0000

Results
As for the space-group type: No. 87. The density of states at the Fermi level comes out at 7.0 states/eV/f.u.

---

Model two:
Compound: Rh4C
Source: Alexandria
Functional: PBE
Structure: relaxed

a b c (Å): 2.8171 2.8171 9.8543
angles (deg): 90.00 90.00 120.00
Fractional coordinates of all 5 atoms:
Rh  0.6667  0.3333  0.3933
Rh  0.3333  0.6667  0.6067
Rh  0.6667  0.3333  0.1301
Rh  0.3333  0.6667  0.8699
C  0.0000  0.0000  0.0000

Results
As for the space-group type: No. 164. The density of states at the Fermi level comes out at 6.4 states/eV/f.u.

---

Model three:
Compound: Rh4C
Source: Alexandria
Functional: PBE
Structure: relaxed

a b c (Å): 6.8519 6.8519 6.8519
angles (deg): 150.88 150.88 41.65
Fractional coordinates of all 5 atoms:
Rh  0.7500  0.2500  0.5000
Rh  0.2500  0.7500  0.5000
Rh  0.5948  0.5948  0.0000
Rh  0.4052  0.4052  0.0000
C  0.0000  0.0000  0.0000

Results
As for the space-group type: No. 139. The density of states at the Fermi level comes out at 6.9 states/eV/f.u.

---

Model four:
Compound: Rh4C
Source: Alexandria
Functional: PBE
Structure: relaxed

a b c (Å): 4.4862 4.4862 4.4862
angles (deg): 109.47 109.47 109.47
Fractional coordinates of all 5 atoms:
Rh  0.5000  0.5000  0.5000
Rh  0.0000  0.0000  0.5000
Rh  0.0000  0.5000  0.0000
Rh  0.5000  0.0000  0.0000
C  0.0000  0.0000  0.0000

Results
As for the space-group type: No. 229. The density of states at the Fermi level comes out at 7.4 states/eV/f.u.

---

Most stable structure: model two

---

Model one:
Compound: RhC4
Source: Alexandria
Functional: PBE
Structure: relaxed

a b c (Å): 2.7533 2.7533 6.1484
angles (deg): 90.00 90.00 120.00
Fractional coordinates of all 5 atoms:
Rh  0.0000  0.0000  0.0000
C  0.6667  0.3333  0.7824
C  0.3333  0.6667  0.2176
C  0.6667  0.3333  0.5446
C  0.3333  0.6667  0.4554

Results
As for the space-group type: No. 164. The density of states at the Fermi level comes out at 2.3 states/eV/f.u.

---

Model two:
Compound: RhC4
Source: Alexandria
Functional: PBE
Structure: relaxed

a b c (Å): 3.9410 3.9410 3.9410
angles (deg): 90.00 90.00 90.00
Fractional coordinates of all 5 atoms:
C  0.0000  0.0000  0.0000
C  0.5000  0.0000  0.5000
C  0.0000  0.5000  0.5000
C  0.5000  0.5000  0.0000
Rh  0.5000  0.5000  0.5000

Results
As for the space-group type: No. 221. The density of states at the Fermi level comes out at 3.3 states/eV/f.u.

---

Most stable structure: model one